# 1
This record from Alexandria describes a relaxed Fe2HgMo crystal. The functional is PBE-GGA.

Summary:
crystal system: trigonal
calculated volume: 15.528 Å³/atom
final energy: -26.25 eV per formula unit

a = 8.782 Å, b = 8.782 Å, c = 8.782 Å
α = 18.90°, β = 18.90°, γ = 18.90°
Last column: magnetic moment on the atom in μB.
Element x y z (fractional)
Fe 0.493 0.493 0.493  2.38
Fe 0.007 0.007 0.007  2.38
Hg 0.250 0.250 0.250  -0.03
Mo 0.750 0.750 0.750  -0.27


# 2
This record from Alexandria describes a relaxed Sm4Ga3 crystal. The functional is PBE-GGA.

Summary:
crystal system: trigonal
calculated volume: 25.619 Å³/atom
final energy: -31.11 eV per formula unit

a = 6.490 Å, b = 8.276 Å, c = 8.276 Å
α = 113.42°, β = 105.15°, γ = 105.15°
Element x y z (fractional)
Sm 0.377 0.459 0.145
Sm 0.000 0.000 0.000
Ga 0.518 0.270 0.393
Sm 0.232 0.855 0.314
Ga 0.125 0.607 0.877
Sm 0.918 0.686 0.541
Sm 0.500 0.000 0.000
Ga 0.248 0.123 0.730
Ga 0.482 0.730 0.607
Sm 0.623 0.541 0.855
Ga 0.875 0.393 0.123
Sm 0.768 0.145 0.686
Sm 0.082 0.314 0.459
Ga 0.752 0.877 0.270


# 3
This record from Alexandria describes a relaxed Al3In2 crystal. The functional is PBE-GGA.

Summary:
crystal system: trigonal
E above lowest polymorph: 0 meV/atom
calculated volume: 21.034 Å³/atom
final energy: -15.93 eV per formula unit

a = 12.780 Å, b = 12.780 Å, c = 12.780 Å
α = 13.92°, β = 13.92°, γ = 13.92°
Element x y z (fractional)
In 0.599 0.599 0.599
Al 0.000 0.000 0.000
Al 0.196 0.196 0.196
In 0.401 0.401 0.401
Al 0.804 0.804 0.804


# 4
This record from Alexandria describes a relaxed Zn3Ag2Au6 crystal. The functional is PBE-GGA.

Summary:
crystal system: triclinic
E above lowest polymorph: 0 meV/atom
calculated volume: 17.111 Å³/atom
final energy: -30.62 eV per formula unit

a = 3.742 Å, b = 5.188 Å, c = 11.417 Å
α = 111.23°, β = 71.04°, γ = 110.74°
Element x y z (fractional)
Ag 0.916 0.385 0.277
Zn 0.450 0.178 0.638
Au 0.269 0.908 0.187
Au 0.627 0.419 0.085
Au 0.825 0.744 0.543
Au 0.731 0.092 0.813
Zn 0.550 0.822 0.362
Au 0.373 0.581 0.915
Zn 0.000 0.000 0.000
Au 0.175 0.256 0.457
Ag 0.084 0.615 0.723